(1)
! PBE BeOsAu, optimized geometry; values from VASP
&SYSTEM
  ibrav = 0, nat = 12, ntyp = 3
/
ATOMIC_SPECIES
Be 9.01 Be.upf
Os 190.23 Os.upf
Au 196.97 Au.upf
ATOMIC_POSITIONS crystal
Be 0.000 0.000 0.000
Be 0.000 0.500 0.500
Be 0.500 0.000 0.500
Be 0.500 0.500 0.000
Os 0.000 0.000 0.641
Os 0.000 0.500 0.141
Os 0.500 0.000 0.141
Os 0.500 0.500 0.641
Au 0.000 0.000 0.346
Au 0.000 0.500 0.846
Au 0.500 0.000 0.846
Au 0.500 0.500 0.346
CELL_PARAMETERS angstrom
2.823 0.000 0.000
0.000 4.649 0.000
0.000 0.000 12.884
! SG: Fmm2
! Energy relative to the elements in eV/atom: 0.27

***

(2)
! PBE CaRu2, optimized geometry; values from VASP
&SYSTEM
  ibrav = 0, nat = 9, ntyp = 2
/
ATOMIC_SPECIES
Ca 40.08 Ca.upf
Ru 101.07 Ru.upf
ATOMIC_POSITIONS crystal
Ca 0.000 0.000 0.000
Ca 0.333 0.667 0.500
Ca 0.667 0.333 0.500
Ru 0.000 0.223 0.500
Ru 0.000 0.431 0.000
Ru 0.223 0.000 0.500
Ru 0.431 0.000 0.000
Ru 0.569 0.569 0.000
Ru 0.777 0.777 0.500
CELL_PARAMETERS angstrom
6.778 0.000 0.000
-3.389 5.870 0.000
0.000 0.000 4.477
! SG: P-62m
! Energy relative to the elements in eV/atom: 0.95

***

(3)
! PBE Ba2HgPO, optimized geometry; values from VASP
&SYSTEM
  ibrav = 0, nat = 5, ntyp = 4
/
ATOMIC_SPECIES
Ba 137.33 Ba.upf
Hg 200.59 Hg.upf
P 30.97 P.upf
O 16.00 O.upf
ATOMIC_POSITIONS crystal
Ba 0.000 0.500 0.000
Ba 0.500 0.000 0.000
Hg 0.000 0.000 0.500
P 0.500 0.500 0.500
O 0.000 0.000 0.000
CELL_PARAMETERS angstrom
5.411 0.000 0.000
0.000 5.411 0.000
0.000 0.000 4.787
! SG: P4/mmm
! Energy relative to the elements, uncorrected in eV/atom: -1.0678

***

(4)
! PBE Nd8Ho2Cd, optimized geometry; values from VASP
&SYSTEM
  ibrav = 0, nat = 11, ntyp = 3
/
ATOMIC_SPECIES
Nd 144.24 Nd.upf
Ho 164.93 Ho.upf
Cd 112.41 Cd.upf
ATOMIC_POSITIONS crystal
Nd 0.046 0.046 0.225
Nd 0.137 0.137 0.681
Nd 0.320 0.320 0.590
Nd 0.409 0.409 0.055
Nd 0.591 0.591 0.945
Nd 0.680 0.680 0.410
Nd 0.863 0.863 0.319
Nd 0.954 0.954 0.775
Ho 0.225 0.225 0.134
Ho 0.775 0.775 0.866
Cd 0.500 0.500 0.500
CELL_PARAMETERS angstrom
9.168 -2.550 0.000
9.168 2.550 0.000
-2.153 0.000 7.781
! SG: C2/m
! Energy relative to the elements in eV/atom: -0.02

***

(5)
! PBE Mg2SnIrAu, optimized geometry; values from VASP
&SYSTEM
  ibrav = 0, nat = 5, ntyp = 4
/
ATOMIC_SPECIES
Mg 24.30 Mg.upf
Sn 118.71 Sn.upf
Ir 192.22 Ir.upf
Au 196.97 Au.upf
ATOMIC_POSITIONS crystal
Mg 0.000 0.500 0.000
Mg 0.500 0.000 0.000
Sn 0.000 0.000 0.500
Ir 0.500 0.500 0.500
Au 0.000 0.000 0.000
CELL_PARAMETERS angstrom
4.863 0.000 0.000
0.000 4.863 0.000
0.000 0.000 5.092
! SG: P4/mmm
! Energy relative to the elements in eV/atom: 0.59

***

(6)
! PBE Ac2Zn12Pd5, optimized geometry; values from VASP
&SYSTEM
  ibrav = 0, nat = 19, ntyp = 3
/
ATOMIC_SPECIES
Ac 227.00 Ac.upf
Zn 65.41 Zn.upf
Pd 106.42 Pd.upf
ATOMIC_POSITIONS crystal
Ac 0.163 0.163 0.163
Ac 0.837 0.837 0.837
Zn 0.159 0.159 0.647
Zn 0.159 0.647 0.159
Zn 0.219 0.500 0.781
Zn 0.219 0.781 0.500
Zn 0.353 0.841 0.841
Zn 0.500 0.219 0.781
Zn 0.500 0.781 0.219
Zn 0.647 0.159 0.159
Zn 0.781 0.219 0.500
Zn 0.781 0.500 0.219
Zn 0.841 0.353 0.841
Zn 0.841 0.841 0.353
Pd 0.000 0.500 0.500
Pd 0.394 0.394 0.394
Pd 0.500 0.000 0.500
Pd 0.500 0.500 0.000
Pd 0.606 0.606 0.606
CELL_PARAMETERS angstrom
4.699 2.713 4.412
-4.699 2.713 4.412
0.000 -5.426 4.412
! SG: R-3m
! Energy relative to the elements in eV/atom: -0.42

***

Number 1: total magnetic moment 0.000 μB/atom. Number 2: total magnetic moment 0.000 μB/atom. Number 3: total magnetic moment 0.000 μB/atom. Number 4: total magnetic moment 0.000 μB/atom. Number 5: total magnetic moment 0.000 μB/atom. Number 6: total magnetic moment 0.000 μB/atom.